(1)
! SrHgSb2 PBE relaxed; values from VASP
! - formation energy from raw total energies (eV per atom) = -0.345
&SYSTEM
  ibrav = 0, nat = 4, ntyp = 3
/
ATOMIC_SPECIES
Sr 87.62 Sr.upf
Hg 200.59 Hg.upf
Sb 121.76 Sb.upf
ATOMIC_POSITIONS angstrom
Sr 0.0000 0.0000 0.0000
Hg 2.0672 2.0672 1.8194
Sb 0.0000 0.0000 3.7146
Sb 2.0672 2.0672 4.9080
CELL_PARAMETERS angstrom
4.1344 0.0000 0.0000
0.0000 4.1344 0.0000
0.0000 0.0000 7.1295



(2)
! Zr2InPd2 PBE relaxed; values from VASP
! - calculated formation energy (kcal/mol of atoms) = -6.52
&SYSTEM
  ibrav = 0, nat = 10, ntyp = 3
/
ATOMIC_SPECIES
Zr 91.22 Zr.upf
In 114.82 In.upf
Pd 106.42 Pd.upf
ATOMIC_POSITIONS angstrom
Zr 0.0000 2.2822 2.6844
Zr 0.0000 2.2822 8.0532
Zr 2.2822 0.0000 2.6844
Zr 2.2822 0.0000 8.0532
In 0.0000 0.0000 0.0000
In 2.2822 2.2822 5.3688
Pd 0.0000 0.0000 4.1069
Pd 0.0000 0.0000 6.6307
Pd 2.2822 2.2822 1.2619
Pd 2.2822 2.2822 9.4757
CELL_PARAMETERS angstrom
4.5644 0.0000 0.0000
0.0000 4.5644 0.0000
0.0000 0.0000 10.7376



(3)
! PmSm2PaAs4 PBE relaxed; values from VASP
! - calculated formation energy (kcal/mol of atoms) = -32.66
&SYSTEM
  ibrav = 0, nat = 8, ntyp = 4
/
ATOMIC_SPECIES
Pm 145.00 Pm.upf
Sm 150.36 Sm.upf
Pa 231.04 Pa.upf
As 74.92 As.upf
ATOMIC_POSITIONS angstrom
Pm 0.0000 0.0000 0.0000
Sm 2.4129 0.0000 3.4157
Sm 3.6185 2.0940 0.0000
Pa -1.2056 2.0940 3.4157
As -0.0317 0.0000 5.0669
As 1.1576 2.0940 1.7527
As 3.6682 2.0940 5.0788
As 4.8575 0.0000 1.7645
CELL_PARAMETERS angstrom
7.2370 0.0000 0.0000
0.0000 4.1880 0.0000
-2.4112 0.0000 6.8314



(4)
! Pb2Au PBE relaxed; values from VASP
! - calculated formation energy (kcal/mol of atoms) = -0.74
&SYSTEM
  ibrav = 0, nat = 12, ntyp = 2
/
ATOMIC_SPECIES
Pb 207.20 Pb.upf
Au 196.97 Au.upf
ATOMIC_POSITIONS angstrom
Pb 0.0000 0.2780 0.0000
Pb 0.0000 4.1868 5.1651
Pb 0.0000 9.4819 1.8102
Pb 0.0000 13.3906 3.3548
Pb 1.7967 2.6475 1.8102
Pb 1.7967 6.5563 3.3548
Pb 1.7967 7.1123 0.0000
Pb 1.7967 11.0211 5.1651
Au 0.0000 4.9633 1.3757
Au 0.0000 8.7053 4.7306
Au 1.7967 1.8710 4.7306
Au 1.7967 11.7976 1.3757
CELL_PARAMETERS angstrom
3.5935 0.0000 0.0000
0.0000 13.6686 0.0000
0.0000 0.0000 6.7097



(5)
! AlFe2Mo PBE relaxed; values from VASP
! - calculated formation energy (kcal/mol of atoms) = -1.28
&SYSTEM
  ibrav = 0, nat = 4, ntyp = 3
/
ATOMIC_SPECIES
Al 26.98 Al.upf
Fe 55.84 Fe.upf
Mo 95.94 Mo.upf
ATOMIC_POSITIONS angstrom
Al 0.0000 0.0000 0.0000
Fe 1.0160 0.0000 2.2992
Fe 1.6651 2.0779 1.0414
Mo 0.0852 2.0779 3.4568
CELL_PARAMETERS angstrom
2.6095 0.0000 0.0000
0.0000 4.1557 0.0000
-1.0240 0.0000 4.8572



(6)
! K2LiBi2 PBE relaxed; values from VASP
! - calculated formation energy (kcal/mol of atoms) = -8.01
! - offset from the most stable computed form (kcal/mol of atoms) = 0.00
&SYSTEM
  ibrav = 0, nat = 10, ntyp = 3
/
ATOMIC_SPECIES
K 39.10 K.upf
Li 6.94 Li.upf
Bi 208.98 Bi.upf
ATOMIC_POSITIONS angstrom
K 1.5864 0.8928 1.6066
K 0.9363 -0.8928 6.4309
K 8.7751 0.8928 3.2177
K 8.1250 -0.8928 8.0419
Li 5.1807 0.3610 2.4121
Li 4.5306 -0.3610 7.2364
Bi 3.6129 1.0685 4.7164
Bi 6.7486 1.0685 0.1079
Bi 2.9628 -1.0685 9.5406
Bi 6.0985 -1.0685 4.9322
CELL_PARAMETERS angstrom
5.5058 -3.4992 0.0000
5.5058 3.4992 0.0000
-1.3002 0.0000 9.6485



(7)
! LiTe3Au2 PBE relaxed; values from VASP
! - formation energy from raw total energies (eV per atom) = -0.179
&SYSTEM
  ibrav = 0, nat = 12, ntyp = 3
/
ATOMIC_SPECIES
Li 6.94 Li.upf
Te 127.60 Te.upf
Au 196.97 Au.upf
ATOMIC_POSITIONS angstrom
Li 3.0709 0.0000 0.3371
Li 18.0951 0.0000 6.5688
Te 1.4789 0.0000 2.9442
Te 4.8870 0.0000 5.5706
Te 8.9036 0.0000 1.3188
Te 12.2624 0.0000 5.5871
Te 16.2790 0.0000 1.3353
Te 19.6871 0.0000 3.9617
Au 4.1900 0.0000 2.8187
Au 9.4516 0.0000 5.7135
Au 11.7144 0.0000 1.1924
Au 16.9760 0.0000 4.0872
CELL_PARAMETERS angstrom
10.9011 -2.0575 0.0000
10.9011 2.0575 0.0000
-0.6363 0.0000 6.9059



(8)
! B5C PBE relaxed; values from VASP
! - calculated formation energy (kcal/mol of atoms) = 11.14
! - offset from the most stable computed form (kcal/mol of atoms) = 6.60
&SYSTEM
  ibrav = 0, nat = 12, ntyp = 2
/
ATOMIC_SPECIES
B 10.81 B.upf
C 12.01 C.upf
ATOMIC_POSITIONS angstrom
B -0.0866 0.0000 3.3715
B 0.8987 0.0000 0.0906
B 1.8380 0.0000 7.3791
B 2.8712 0.0000 1.8654
B 3.5820 0.0000 7.4302
B 4.6697 0.0000 1.0384
B 5.3804 0.0000 6.6032
B 6.4137 0.0000 1.0895
B 7.3529 0.0000 8.3780
B 8.3383 0.0000 5.0971
C 4.1929 0.0000 2.6321
C 4.0588 0.0000 5.8365
CELL_PARAMETERS angstrom
4.2961 -1.3869 0.0000
4.2961 1.3869 0.0000
-0.3406 0.0000 8.4686



(9)
! Nb2Re2Te PBE relaxed; values from VASP
! - formation energy from raw total energies (eV per atom) = 0.354
! - offset from the most stable computed form (kcal/mol of atoms) = 0.00
&SYSTEM
  ibrav = 0, nat = 10, ntyp = 3
/
ATOMIC_SPECIES
Nb 92.91 Nb.upf
Re 186.21 Re.upf
Te 127.60 Te.upf
ATOMIC_POSITIONS angstrom
Nb 1.1719 2.7108 0.0000
Nb 2.7108 6.5936 0.0000
Nb 5.0547 1.1719 0.0000
Nb 6.5936 5.0547 0.0000
Re 1.0508 4.9335 1.5510
Re 2.8320 1.0508 1.5510
Re 4.9335 6.7148 1.5510
Re 6.7148 2.8320 1.5510
Te 0.0000 0.0000 1.5510
Te 3.8828 3.8828 1.5510
CELL_PARAMETERS angstrom
7.7655 0.0000 0.0000
0.0000 7.7655 0.0000
0.0000 0.0000 3.1021



(10)
! Tl2SbH PBE relaxed; values from VASP
! - offset from the most stable computed form (kcal/mol of atoms) = 4.75
&SYSTEM
  ibrav = 0, nat = 16, ntyp = 3
/
ATOMIC_SPECIES
Tl 204.38 Tl.upf
Sb 121.76 Sb.upf
H 1.01 H.upf
ATOMIC_POSITIONS angstrom
Tl 1.8391 1.8391 1.8391
Tl 1.8391 1.8391 5.5173
Tl 1.8391 5.5173 1.8391
Tl 1.8391 5.5173 5.5173
Tl 5.5173 1.8391 1.8391
Tl 5.5173 1.8391 5.5173
Tl 5.5173 5.5173 1.8391
Tl 5.5173 5.5173 5.5173
Sb 0.0000 0.0000 0.0000
Sb 0.0000 3.6782 3.6782
Sb 3.6782 0.0000 3.6782
Sb 3.6782 3.6782 0.0000
H 0.0000 0.0000 3.6782
H 0.0000 3.6782 0.0000
H 3.6782 0.0000 0.0000
H 3.6782 3.6782 3.6782
CELL_PARAMETERS angstrom
7.3564 0.0000 0.0000
0.0000 7.3564 0.0000
0.0000 0.0000 7.3564



(11)
! Pu2Cu3AgGe4 PBE relaxed; values from VASP
! - calculated formation energy (kcal/mol of atoms) = -5.78
&SYSTEM
  ibrav = 0, nat = 10, ntyp = 4
/
ATOMIC_SPECIES
Pu 244.00 Pu.upf
Cu 63.55 Cu.upf
Ag 107.87 Ag.upf
Ge 72.64 Ge.upf
ATOMIC_POSITIONS angstrom
Pu 0.0000 2.1064 2.4776
Pu 2.1064 0.0000 7.7622
Cu 0.0000 2.1064 8.9698
Cu 2.1064 0.0000 1.2700
Cu 2.1064 2.1064 5.1199
Ag 0.0000 0.0000 5.1199
Ge 0.0000 0.0000 0.0000
Ge 0.0000 2.1064 6.6194
Ge 2.1064 0.0000 3.6204
Ge 2.1064 2.1064 0.0000
CELL_PARAMETERS angstrom
4.2127 0.0000 0.0000
0.0000 4.2127 0.0000
0.0000 0.0000 10.2398



(12)
! TlBAs PBE relaxed; values from VASP
! - calculated formation energy (kcal/mol of atoms) = 7.16
&SYSTEM
  ibrav = 0, nat = 12, ntyp = 3
/
ATOMIC_SPECIES
Tl 204.38 Tl.upf
B 10.81 B.upf
As 74.92 As.upf
ATOMIC_POSITIONS angstrom
Tl 0.0000 0.0000 1.8984
Tl 0.0000 0.0000 11.3531
Tl 2.2007 2.5381 4.7273
Tl 2.2007 2.5381 8.5242
B 0.8102 2.5381 0.0000
B 1.3904 0.0000 6.6257
B 3.0109 0.0000 6.6257
B 3.5911 2.5381 0.0000
As 0.0000 0.0000 5.1115
As 0.0000 0.0000 8.1400
As 2.2007 2.5381 1.5143
As 2.2007 2.5381 11.7372
CELL_PARAMETERS angstrom
4.4013 0.0000 0.0000
0.0000 5.0762 0.0000
0.0000 0.0000 13.2515



(13)
! RbGePt2 PBE relaxed; values from VASP
! - calculated formation energy (kcal/mol of atoms) = 0.17
&SYSTEM
  ibrav = 0, nat = 16, ntyp = 3
/
ATOMIC_SPECIES
Rb 85.47 Rb.upf
Ge 72.64 Ge.upf
Pt 195.08 Pt.upf
ATOMIC_POSITIONS angstrom
Rb 0.0000 0.0000 0.0000
Rb 0.0000 3.8722 1.8569
Rb 3.8722 0.0000 5.5708
Rb 3.8722 3.8722 3.7138
Ge 0.0000 0.0000 3.7138
Ge 0.0000 3.8722 5.5708
Ge 3.8722 0.0000 1.8569
Ge 3.8722 3.8722 0.0000
Pt 1.0334 1.9361 4.6423
Pt 1.9361 4.9055 6.4992
Pt 1.9361 6.7110 2.7854
Pt 2.8388 1.9361 0.9285
Pt 4.9055 5.8083 0.9285
Pt 5.8083 1.0334 2.7854
Pt 5.8083 2.8388 6.4992
Pt 6.7110 5.8083 4.6423
CELL_PARAMETERS angstrom
7.7444 0.0000 0.0000
0.0000 7.7444 0.0000
0.0000 0.0000 7.4277



(14)
! Ho5Co2Hg PBE relaxed; values from VASP
! - calculated formation energy (kcal/mol of atoms) = -6.66
&SYSTEM
  ibrav = 0, nat = 16, ntyp = 3
/
ATOMIC_SPECIES
Ho 164.93 Ho.upf
Co 58.93 Co.upf
Hg 200.59 Hg.upf
ATOMIC_POSITIONS angstrom
Ho 0.0000 0.0000 0.0000
Ho 4.9958 1.2176 -1.7562
Ho 1.2176 2.5607 -1.7562
Ho 4.9958 1.2176 1.7562
Ho 1.2176 2.5607 1.7562
Ho 0.0000 0.0000 6.6165
Ho 2.5607 1.2176 4.8604
Ho -1.2176 2.5607 4.8604
Ho 2.5607 1.2176 8.3727
Ho -1.2176 2.5607 8.3727
Co 2.7542 1.0241 0.0000
Co 2.7542 -1.0241 6.6165
Co 1.0241 4.8023 0.0000
Co 1.0241 2.7542 6.6165
Hg 0.0000 0.0000 3.3083
Hg 0.0000 0.0000 9.9248
CELL_PARAMETERS angstrom
-3.7783 3.7783 6.6165
3.7783 -3.7783 6.6165
3.7783 3.7783 -6.6165



(15)
! GeMoH2Se PBE relaxed; values from VASP
! - final energy (eV per atom) = -4.759
&SYSTEM
  ibrav = 0, nat = 5, ntyp = 4
/
ATOMIC_SPECIES
Ge 72.64 Ge.upf
Mo 95.94 Mo.upf
H 1.01 H.upf
Se 78.96 Se.upf
ATOMIC_POSITIONS angstrom
Ge 0.0000 0.0000 0.0000
Mo 1.7678 1.7678 0.0000
H 0.0000 1.7678 2.7352
H 1.7678 0.0000 2.7352
Se 1.7678 1.7678 2.7352
CELL_PARAMETERS angstrom
3.5357 0.0000 0.0000
0.0000 3.5357 0.0000
0.0000 0.0000 5.4705



(16)
! Mn2FeCu PBE relaxed; values from VASP
! - calculated formation energy (kcal/mol of atoms) = 2.52
! - offset from the most stable computed form (kcal/mol of atoms) = 0.00
&SYSTEM
  ibrav = 0, nat = 8, ntyp = 3
/
ATOMIC_SPECIES
Mn 54.94 Mn.upf
Fe 55.84 Fe.upf
Cu 63.55 Cu.upf
ATOMIC_POSITIONS angstrom
Mn 0.0000 0.0000 0.0000
Mn 0.0000 1.8010 1.8352
Mn 1.8010 0.0000 5.5057
Mn 1.8010 1.8010 3.6704
Fe 0.0000 1.8010 5.5057
Fe 1.8010 0.0000 1.8352
Cu 0.0000 0.0000 3.6704
Cu 1.8010 1.8010 0.0000
CELL_PARAMETERS angstrom
3.6019 0.0000 0.0000
0.0000 3.6019 0.0000
0.0000 0.0000 7.3409



Number 1: size of the total moment 0.00 μB/f.u.. Number 2: size of the total moment 0.00 μB/f.u.. Number 3: size of the total moment 0.00 μB/f.u.. Number 4: size of the total moment 0.00 μB/f.u.. Number 5: size of the total moment 3.46 μB/f.u.. Number 6: size of the total moment 0.00 μB/f.u.. Number 7: size of the total moment 0.00 μB/f.u.. Number 8: size of the total moment 0.00 μB/f.u.. Number 9: size of the total moment 0.00 μB/f.u.. Number 10: size of the total moment 0.00 μB/f.u.. Number 11: size of the total moment 10.55 μB/f.u.. Number 12: size of the total moment 0.00 μB/f.u.. Number 13: size of the total moment 0.00 μB/f.u.. Number 14: size of the total moment 0.00 μB/f.u.. Number 15: size of the total moment 0.00 μB/f.u.. Number 16: size of the total moment 1.95 μB/f.u..